1.
VASP calculation (GGA-PBE) on a relaxed structure of TiSi2OsN.

Unit cell a=4.2292 b=4.2292 c=3.7814 alpha=90.00 beta=90.00 gamma=90.00
Atoms (fractional coordinates):
Ti 0.0000 0.0000 0.0000
Si 0.0000 0.5000 0.5000
Si 0.5000 0.0000 0.5000
Os 0.5000 0.5000 0.0000
N 0.5000 0.5000 0.5000

M_tot	0.00	μB/f.u.
raw formation energy	0.291	eV per atom
total energy	-36.84	eV/cell

2.
VASP calculation (GGA-PBE) on a relaxed structure of Cs2P2Se.

Unit cell a=8.6823 b=8.6823 c=5.0451 alpha=90.00 beta=90.00 gamma=90.00
Atoms (fractional coordinates):
Cs 0.2165 0.2835 0.0000
Cs 0.2835 0.7835 0.0000
Cs 0.7165 0.2165 0.0000
Cs 0.7835 0.7165 0.0000
P 0.0798 0.5798 0.5000
P 0.4202 0.0798 0.5000
P 0.5798 0.9202 0.5000
P 0.9202 0.4202 0.5000
Se 0.0000 0.0000 0.5000
Se 0.5000 0.5000 0.5000

M_tot	0.27	μB/f.u.
raw formation energy	-0.292	eV per atom
total energy	-34.94	eV/cell

3.
VASP calculation (GGA-PBE) on a relaxed structure of SrMg2Se.

Unit cell a=3.8964 b=3.8964 c=7.0607 alpha=90.00 beta=90.00 gamma=90.00
Atoms (fractional coordinates):
Sr 0.0000 0.0000 0.0000
Mg 0.0000 0.0000 0.5184
Mg 0.5000 0.5000 0.3338
Se 0.5000 0.5000 0.7498

M_tot	0.00	μB/f.u.
raw formation energy	-0.595	eV per atom
total energy	-10.74	eV/cell